Model A:
Computed, not measured: an optimized crystal structure of LiZrTl at the PBE level of DFT.

a b c (Å): 12.144 6.376 6.376
angles (deg): 150.16 143.89 36.11
Atoms (fractional coordinates):
Tl: 0.500 0.500 0.500
Tl: 0.000 0.000 0.000
Zr: 0.157 0.176 0.824
Zr: 0.843 0.824 0.176
Li: 0.333 0.323 0.677
Li: 0.667 0.677 0.323

Total magnetization, μB/cell: 0.000
Space group: C2/m, No. 12

Model B:
Computed, not measured: an optimized crystal structure of LiZrTl at the PBE level of DFT.

a b c (Å): 4.165 4.165 7.366
angles (deg): 90.00 90.00 90.00
Atoms (fractional coordinates):
Tl: 0.000 0.000 0.500
Tl: 0.500 0.500 0.500
Zr: 0.000 0.500 0.127
Zr: 0.500 0.000 0.873
Li: 0.000 0.500 0.743
Li: 0.500 0.000 0.257

Total magnetization, μB/cell: 0.000
Space group: P4/nmm, No. 129

Model C:
Computed, not measured: an optimized crystal structure of LiZrTl at the PBE level of DFT.

a b c (Å): 5.167 7.952 7.952
angles (deg): 156.16 90.00 90.00
Atoms (fractional coordinates):
Tl: 0.500 0.448 0.552
Tl: 0.000 0.233 0.767
Zr: 0.000 0.567 0.433
Zr: 0.000 0.905 0.095
Li: 0.500 0.101 0.899
Li: 0.500 0.767 0.233

Total magnetization, μB/cell: 0.000
Space group: Amm2, No. 38

On energetic grounds, model C is preferred over the next structure by 69 meV/atom.

Model A:
Computed, not measured: an optimized crystal structure of LiZrTl at the PBE level of DFT.

a b c (Å): 5.081 5.081 3.121
angles (deg): 90.00 90.00 120.00
Atoms (fractional coordinates):
Tl: 0.000 0.000 0.000
Zr: 0.333 0.667 0.000
Li: 0.667 0.333 0.500

Total magnetization, μB/cell: 0.000
Space group: P-6m2, No. 187

Model B:
Computed, not measured: an optimized crystal structure of LiZrTl at the PBE level of DFT.

a b c (Å): 3.166 3.166 7.859
angles (deg): 90.00 90.00 120.00
Atoms (fractional coordinates):
Li: 0.000 0.000 0.013
Tl: 0.333 0.667 0.321
Zr: 0.667 0.333 0.666

Total magnetization, μB/cell: 0.000
Space group: P3m1, No. 156

On energetic grounds, model B is preferred over the next structure by 107 meV/atom.

Model A:
Computed, not measured: an optimized crystal structure of LiZrTl at the PBE level of DFT.

a b c (Å): 4.708 4.708 3.226
angles (deg): 90.00 90.00 120.00
Atoms (fractional coordinates):
Li: 0.000 0.000 0.166
Tl: 0.667 0.333 0.167
Zr: 0.333 0.667 0.667

Total magnetization, μB/cell: 0.002
Space group: P-6m2, No. 187

Model B:
Computed, not measured: an optimized crystal structure of LiZrTl at the PBE level of DFT.

a b c (Å): 8.229 6.140 4.758
angles (deg): 90.00 90.00 90.00
Atoms (fractional coordinates):
Tl: 0.000 0.000 0.000
Tl: 0.500 0.500 0.500
Tl: 0.500 0.000 0.500
Tl: 0.000 0.500 0.000
Zr: 0.333 0.250 0.000
Zr: 0.167 0.750 0.500
Zr: 0.667 0.750 0.000
Zr: 0.833 0.250 0.500
Li: 0.667 0.250 0.000
Li: 0.833 0.750 0.500
Li: 0.333 0.750 0.000
Li: 0.167 0.250 0.500

Total magnetization, μB/cell: 0.000
Space group: P6_3/mmc, No. 194

Model C:
Computed, not measured: an optimized crystal structure of LiZrTl at the PBE level of DFT.

a b c (Å): 6.365 6.365 6.365
angles (deg): 150.64 150.64 42.01
Atoms (fractional coordinates):
Li: 0.987 0.987 0.000
Tl: 0.350 0.350 0.000
Zr: 0.663 0.663 0.000

Total magnetization, μB/cell: 0.001
Space group: I4mm, No. 107

On energetic grounds, model A is preferred over the next structure by 76 meV/atom.

Model A:
Computed, not measured: an optimized crystal structure of LiZrTl at the PBE level of DFT.

a b c (Å): 5.208 5.208 5.208
angles (deg): 144.21 128.06 64.69
Atoms (fractional coordinates):
Li: 0.001 0.001 0.000
Tl: 0.331 0.331 0.000
Zr: 0.668 0.668 0.000

Total magnetization, μB/cell: 0.000
Space group: Imm2, No. 44

Model B:
Computed, not measured: an optimized crystal structure of LiZrTl at the PBE level of DFT.

a b c (Å): 5.554 9.017 3.491
angles (deg): 101.18 51.11 86.26
Atoms (fractional coordinates):
Tl: 0.589 0.033 0.630
Tl: 0.832 0.549 0.145
Zr: 0.408 0.397 0.992
Zr: 0.013 0.186 0.782
Li: 0.711 0.791 0.887
Li: 0.211 0.791 0.887

Total magnetization, μB/cell: 0.000
Space group: Immm, No. 71

On energetic grounds, model B is preferred over the next structure by 182 meV/atom.

Model A:
Computed, not measured: an optimized crystal structure of LiZrTl at the PBE level of DFT.

a b c (Å): 4.769 4.769 4.769
angles (deg): 60.00 60.00 60.00
Atoms (fractional coordinates):
Tl: 0.750 0.750 0.750
Zr: 0.500 0.500 0.500
Li: 0.250 0.250 0.250

Total magnetization, μB/cell: 0.000
Space group: F-43m, No. 216

Model B:
Computed, not measured: an optimized crystal structure of LiZrTl at the PBE level of DFT.

a b c (Å): 9.965 6.122 6.122
angles (deg): 149.80 132.32 47.68
Atoms (fractional coordinates):
Tl: 0.317 0.035 0.965
Tl: 0.712 0.655 0.345
Zr: 0.051 0.861 0.139
Zr: 0.375 0.260 0.740
Li: 0.023 0.610 0.390
Li: 0.676 0.408 0.592

Total magnetization, μB/cell: 0.000
Space group: Cm, No. 8

On energetic grounds, model B is preferred over the next structure by 529 meV/atom.

Model A:
Computed, not measured: an optimized crystal structure of LiZrTl at the PBE level of DFT.

a b c (Å): 6.959 4.053 9.192
angles (deg): 90.00 90.00 90.00
Atoms (fractional coordinates):
Tl: 0.866 0.250 0.744
Tl: 0.634 0.750 0.244
Tl: 0.134 0.750 0.256
Tl: 0.366 0.250 0.756
Zr: 0.388 0.250 0.412
Zr: 0.112 0.750 0.912
Zr: 0.612 0.750 0.588
Zr: 0.888 0.250 0.088
Li: 0.875 0.250 0.422
Li: 0.625 0.750 0.922
Li: 0.125 0.750 0.578
Li: 0.375 0.250 0.078

Total magnetization, μB/cell: 0.000
Space group: Pnma, No. 62

Model B:
Computed, not measured: an optimized crystal structure of LiZrTl at the PBE level of DFT.

a b c (Å): 3.417 3.420 11.525
angles (deg): 72.76 90.00 90.00
Atoms (fractional coordinates):
Tl: 0.405 0.815 0.816
Tl: 0.405 0.132 0.498
Zr: 0.405 0.447 0.183
Zr: 0.905 0.128 0.003
Li: 0.905 0.467 0.664
Li: 0.905 0.766 0.364

Total magnetization, μB/cell: 0.000
Space group: P4mm, No. 99

On energetic grounds, model B is preferred over the next structure by 81 meV/atom.